AcMgAsPd (PBE-GGA, optimized geometry); energy = -18.2 eV/f.u.
1.0
-4.769 1.505 1.135
-3.986 -1.968 -2.555
-3.215 -3.227 2.355
Mg As Pd Ac
1 1 1 1
Cartesian
-8.977 -2.768 0.701
-5.985 -1.845 0.467
0.000 0.000 0.000
-2.992 -0.923 0.234